Entry 1:
This record from Alexandria describes a relaxed TbPm3 crystal. The functional is GGA-PBE.

## Properties
As for the energy of formation: 0.14 eV per atom. As for the calculated volume: 33.95 Å³ per atom. The total energy comes out at -0.3367 Ry per atom.

a = 5.769 Å, b = 5.769 Å, c = 5.769 Å
α = 60.00°, β = 60.00°, γ = 60.00°
Element x y z (fractional)
Pm: 0.750 0.750 0.750
Pm: 0.000 0.000 0.000
Pm: 0.250 0.250 0.250
Tb: 0.500 0.500 0.500

***

Entry 2:
This record from Alexandria describes a relaxed Tb5Pm2 crystal. The functional is GGA-PBE.

## Properties
As for the energy of formation: 0.02 eV per atom. As for the calculated volume: 33.08 Å³ per atom. The total energy comes out at -0.3415 Ry per atom.

a = 6.315 Å, b = 9.286 Å, c = 8.538 Å
α = 95.02°, β = 111.70°, γ = 90.00°
Element x y z (fractional)
Tb: 0.119 0.679 0.572
Tb: 0.979 0.965 0.288
Tb: 0.881 0.321 0.428
Tb: 0.834 0.250 0.000
Tb: 0.310 0.465 0.288
Tb: 0.452 0.179 0.572
Tb: 0.166 0.750 0.000
Tb: 0.548 0.821 0.428
Tb: 0.690 0.535 0.712
Tb: 0.021 0.035 0.712
Pm: 0.595 0.893 0.856
Pm: 0.260 0.393 0.856
Pm: 0.405 0.107 0.144
Pm: 0.740 0.607 0.144

***

The highest calculated volume belongs to which entry?
TbPm3

***

Please write out number 1 again, unchanged.
This record from Alexandria describes a relaxed TbPm3 crystal. The functional is GGA-PBE.

## Properties
As for the energy of formation: 0.14 eV per atom. As for the calculated volume: 33.95 Å³ per atom. The total energy comes out at -0.3367 Ry per atom.

a = 5.769 Å, b = 5.769 Å, c = 5.769 Å
α = 60.00°, β = 60.00°, γ = 60.00°
Element x y z (fractional)
Pm: 0.750 0.750 0.750
Pm: 0.000 0.000 0.000
Pm: 0.250 0.250 0.250
Tb: 0.500 0.500 0.500

***

Which of these has the lowest total energy?
Tb5Pm2

***

Look up the total energy of the first one.
-0.3367 Ry per atom